[1]
# Ca3InCu8, optimized geometry, DFT GGA-PBE
data_Ca3InCu8
_chemical_formula_sum 'Ca9 In3 Cu24'
_symmetry_space_group_name_H-M 'R 3 m'
_symmetry_Int_Tables_number 160
_symmetry_space_group_name_Hall 'R 3 -2"'
_cell_length_a 5.2015
_cell_length_b 5.2015
_cell_length_c 25.8938
_cell_angle_alpha 90.00
_cell_angle_beta 90.00
_cell_angle_gamma 120.00
loop_
_atom_site_label
_atom_site_type_symbol
_atom_site_fract_x
_atom_site_fract_y
_atom_site_fract_z
Ca1 Ca 0.0000 0.0000 0.0000
Ca2 Ca 0.0000 0.0000 0.1280
Ca3 Ca 0.0000 0.0000 0.5100
In1 In 0.0000 0.0000 0.6313
Cu1 Cu 0.0000 0.0000 0.3167
Cu2 Cu 0.0000 0.0000 0.8173
Cu3 Cu 0.1672 0.3345 0.3993
Cu4 Cu 0.1684 0.3368 0.9012
# total energy = -3.589 eV per atom

***

[2]
# CaIn2Cu, optimized geometry, DFT GGA-PBE
data_CaIn2Cu
_chemical_formula_sum 'Ca4 In8 Cu4'
_symmetry_space_group_name_H-M 'F m -3 m'
_symmetry_Int_Tables_number 225
_symmetry_space_group_name_Hall '-F 4 2 3'
_cell_length_a 7.092
_cell_length_b 7.092
_cell_length_c 7.092
_cell_angle_alpha 90.00
_cell_angle_beta 90.00
_cell_angle_gamma 90.00
loop_
_atom_site_label
_atom_site_type_symbol
_atom_site_fract_x
_atom_site_fract_y
_atom_site_fract_z
Ca1 Ca 0.000 0.000 0.000
In1 In 0.250 0.250 0.250
Cu1 Cu 0.000 0.000 0.500
# total energy = -2.994 eV per atom

***

[3]
# Ca6InCu2, optimized geometry, DFT GGA-PBE
data_Ca6InCu2
_chemical_formula_sum 'Ca24 In4 Cu8'
_symmetry_space_group_name_H-M 'I m m m'
_symmetry_Int_Tables_number 71
_symmetry_space_group_name_Hall '-I 2 2'
_cell_length_a 9.809
_cell_length_b 10.084
_cell_length_c 10.934
_cell_angle_alpha 90.00
_cell_angle_beta 90.00
_cell_angle_gamma 90.00
loop_
_atom_site_label
_atom_site_type_symbol
_atom_site_fract_x
_atom_site_fract_y
_atom_site_fract_z
Ca1 Ca 0.000 0.197 0.239
Ca2 Ca 0.200 0.500 0.175
Ca3 Ca 0.214 0.314 0.500
In1 In 0.000 0.000 0.000
In2 In 0.000 0.000 0.500
Cu1 Cu 0.000 0.368 0.000
Cu2 Cu 0.000 0.500 0.385
# total energy = -2.737 eV per atom

***

[4]
# CaInCu2, optimized geometry, DFT GGA-PBE
data_CaInCu2
_chemical_formula_sum 'Ca4 In4 Cu8'
_symmetry_space_group_name_H-M 'I 41/a m d'
_symmetry_Int_Tables_number 141
_cell_length_a 4.742
_cell_length_b 4.742
_cell_length_c 18.007
_cell_angle_alpha 90.00
_cell_angle_beta 90.00
_cell_angle_gamma 90.00
loop_
_symmetry_equiv_pos_as_xyz
'x,y,z'
'-x,-y,-z'
'-y+1/4,x+3/4,z+1/4'
'y+1/4,-x+3/4,-z+1/4'
'-x+1/2,-y,z+1/2'
'x+1/2,y,-z+1/2'
'y+1/4,-x+1/4,z+3/4'
'-y+1/4,x+1/4,-z+3/4'
'x,-y,-z'
'-x,y,z'
'-y+1/4,-x+1/4,-z+3/4'
'y+1/4,x+1/4,z+3/4'
'-x+1/2,y,-z+1/2'
'x+1/2,-y,z+1/2'
'y+1/4,x+3/4,-z+1/4'
'-y+1/4,-x+3/4,z+1/4'
'x+1/2,y+1/2,z+1/2'
'-x+1/2,-y+1/2,-z+1/2'
'-y+3/4,x+1/4,z+3/4'
'y+3/4,-x+1/4,-z+3/4'
'-x,-y+1/2,z'
'x,y+1/2,-z'
'y+3/4,-x+3/4,z+1/4'
'-y+3/4,x+3/4,-z+1/4'
'x+1/2,-y+1/2,-z+1/2'
'-x+1/2,y+1/2,z+1/2'
'-y+3/4,-x+3/4,-z+1/4'
'y+3/4,x+3/4,z+1/4'
'-x,y+1/2,-z'
'x,-y+1/2,z'
'y+3/4,x+1/4,-z+3/4'
'-y+3/4,-x+1/4,z+3/4'
loop_
_atom_site_label
_atom_site_type_symbol
_atom_site_fract_x
_atom_site_fract_y
_atom_site_fract_z
Ca1 Ca 0.000 0.250 0.375
In1 In 0.000 0.250 0.875
Cu1 Cu 0.000 0.000 0.000
# total energy = -3.157 eV per atom

***

[5]
# CaIn3Cu2, optimized geometry, DFT GGA-PBE
data_CaIn3Cu2
_chemical_formula_sum 'Ca6 In18 Cu12'
_symmetry_space_group_name_H-M 'R -3 m'
_symmetry_Int_Tables_number 166
_symmetry_space_group_name_Hall '-R 3 2"'
_cell_length_a 6.5606
_cell_length_b 6.5606
_cell_length_c 21.5202
_cell_angle_alpha 90.00
_cell_angle_beta 90.00
_cell_angle_gamma 120.00
loop_
_atom_site_label
_atom_site_type_symbol
_atom_site_fract_x
_atom_site_fract_y
_atom_site_fract_z
Ca1 Ca 0.0000 0.0000 0.2185
In1 In 0.0070 0.5035 0.2406
Cu1 Cu 0.0000 0.0000 0.0000
Cu2 Cu 0.0000 0.5000 0.0000
# total energy = -3.109 eV per atom

***

[6]
# CaIn12Cu6, optimized geometry, DFT GGA-PBE
data_CaIn12Cu6
_chemical_formula_sum 'Ca3 In36 Cu18'
_symmetry_space_group_name_H-M 'R -3 m'
_symmetry_Int_Tables_number 166
_symmetry_space_group_name_Hall '-R 3 2"'
_cell_length_a 12.6469
_cell_length_b 12.6469
_cell_length_c 9.2689
_cell_angle_alpha 90.00
_cell_angle_beta 90.00
_cell_angle_gamma 120.00
loop_
_atom_site_label
_atom_site_type_symbol
_atom_site_fract_x
_atom_site_fract_y
_atom_site_fract_z
Ca1 Ca 0.0000 0.0000 0.0000
In1 In 0.0000 0.3796 0.5000
In2 In 0.0850 0.1700 0.3292
Cu1 Cu 0.0426 0.5213 0.2537
# total energy = -3.088 eV per atom